1.
Here is an optimized crystal structure of Y2Al from Alexandria via LeMat-Bulk. Energies are from PBEsol.

CIF file:
```
data_Y2Al
_symmetry_space_group_name_H-M 'P 1'
_symmetry_Int_Tables_number 1
_cell_length_a 5.058
_cell_length_b 6.484
_cell_length_c 9.362
_cell_angle_alpha 90.00
_cell_angle_beta 90.00
_cell_angle_gamma 90.00
loop_
_symmetry_equiv_pos_as_xyz
'x,y,z'
loop_
_atom_site_label
_atom_site_fract_x
_atom_site_fract_y
_atom_site_fract_z
Y1 0.750 0.027 0.291
Y2 0.250 0.812 0.073
Y3 0.750 0.188 0.927
Y4 0.750 0.688 0.573
Y5 0.250 0.973 0.709
Y6 0.250 0.473 0.791
Y7 0.750 0.527 0.209
Y8 0.250 0.312 0.427
Al1 0.750 0.708 0.897
Al2 0.250 0.792 0.397
Al3 0.250 0.292 0.103
Al4 0.750 0.208 0.603
```

Summary:
Energy of formation in meV per atom: -319
Crystal system: orthorhombic
DFT total energy in eV/atom: -6.23

=====

2.
Here is an optimized crystal structure of CdCo2Ru from Alexandria via LeMat-Bulk. Energies are from PBEsol.

CIF file:
```
data_CdCo2Ru
_symmetry_space_group_name_H-M 'P 1'
_symmetry_Int_Tables_number 1
_cell_length_a 2.667
_cell_length_b 4.538
_cell_length_c 4.726
_cell_angle_alpha 111.11
_cell_angle_beta 90.00
_cell_angle_gamma 90.00
loop_
_symmetry_equiv_pos_as_xyz
'x,y,z'
loop_
_atom_site_label
_atom_site_fract_x
_atom_site_fract_y
_atom_site_fract_z
Cd1 0.000 0.500 0.500
Ru1 0.500 0.500 0.000
Co1 0.500 0.000 0.500
Co2 0.000 0.000 0.000
```

Summary:
Energy of formation in meV per atom: 493
Crystal system: monoclinic
DFT total energy in eV/atom: -6.22

=====

3.
Here is an optimized crystal structure of KCaH6N3 from Alexandria via LeMat-Bulk. Energies are from PBEsol.

CIF file:
```
data_KCaH6N3
_symmetry_space_group_name_H-M 'P 1'
_symmetry_Int_Tables_number 1
_cell_length_a 6.597
_cell_length_b 6.506
_cell_length_c 11.425
_cell_angle_alpha 90.00
_cell_angle_beta 90.00
_cell_angle_gamma 107.35
loop_
_symmetry_equiv_pos_as_xyz
'x,y,z'
loop_
_atom_site_label
_atom_site_fract_x
_atom_site_fract_y
_atom_site_fract_z
N1 0.192 0.202 0.912
N2 0.429 0.099 0.171
N3 0.571 0.901 0.829
N4 0.929 0.099 0.329
N5 0.808 0.798 0.088
N6 0.762 0.583 0.333
N7 0.071 0.901 0.671
N8 0.308 0.798 0.412
N9 0.692 0.202 0.588
N10 0.238 0.417 0.667
N11 0.262 0.583 0.167
N12 0.738 0.417 0.833
H1 0.575 0.744 0.835
H2 0.075 0.744 0.665
H3 0.220 0.637 0.408
H4 0.925 0.256 0.335
H5 0.172 0.462 0.593
H6 0.786 0.558 0.785
H7 0.720 0.637 0.092
H8 0.425 0.256 0.165
H9 0.214 0.442 0.215
H10 0.280 0.363 0.908
H11 0.714 0.442 0.285
H12 0.562 0.942 0.916
H13 0.828 0.538 0.407
H14 0.328 0.538 0.093
H15 0.780 0.363 0.592
H16 0.438 0.058 0.084
H17 0.938 0.058 0.416
H18 0.730 0.160 0.506
H19 0.286 0.558 0.715
H20 0.672 0.462 0.907
H21 0.770 0.840 0.006
H22 0.062 0.942 0.584
H23 0.230 0.160 0.994
H24 0.270 0.840 0.494
K1 0.883 0.251 0.086
K2 0.383 0.251 0.414
K3 0.117 0.749 0.914
K4 0.617 0.749 0.586
Ca1 0.919 0.164 0.763
Ca2 0.081 0.836 0.237
Ca3 0.581 0.836 0.263
Ca4 0.419 0.164 0.737
```

Summary:
Crystal system: monoclinic
DFT total energy in eV/atom: -4.99

=====

4.
Here is an optimized crystal structure of MnRu2Br from Alexandria via LeMat-Bulk. Energies are from PBEsol.

CIF file:
```
data_MnRu2Br
_symmetry_space_group_name_H-M 'P 1'
_symmetry_Int_Tables_number 1
_cell_length_a 3.003
_cell_length_b 4.343
_cell_length_c 4.343
_cell_angle_alpha 90.00
_cell_angle_beta 90.00
_cell_angle_gamma 90.00
loop_
_symmetry_equiv_pos_as_xyz
'x,y,z'
loop_
_atom_site_label
_atom_site_fract_x
_atom_site_fract_y
_atom_site_fract_z
Ru1 0.000 0.000 0.500
Ru2 0.000 0.500 0.000
Br1 0.500 0.500 0.500
Mn1 0.500 0.000 0.000
```

Summary:
Raw formation energy in meV/atom: 758
Crystal system: tetragonal
DFT total energy in eV/atom: -7.24
Energy above the lowest structure with this stoichiometry in meV/atom: 12